# CsRbSrN2, relaxed, DFT PBE
data_CsRbSrN2
_symmetry_space_group_name_H-M 'P 1'
_symmetry_Int_Tables_number 1
_cell_length_a 5.4977
_cell_length_b 5.4977
_cell_length_c 5.9173
_cell_angle_alpha 90.00
_cell_angle_beta 90.00
_cell_angle_gamma 90.00
loop_
_symmetry_equiv_pos_as_xyz
'x,y,z'
loop_
_atom_site_label
_atom_site_fract_x
_atom_site_fract_y
_atom_site_fract_z
Cs1 0.0000 0.0000 0.0000
Rb1 0.0000 0.0000 0.5000
Sr1 0.5000 0.5000 0.0000
N1 0.0000 0.5000 0.5000
N2 0.5000 0.0000 0.5000
# - DOS(E_F) (states/eV/f.u.) = 3.20
# - E_tot (eV/atom) = -2.39
# - SG = P4/mmm (123)

***

# NdCd2Hg3, relaxed, DFT PBE
data_NdCd2Hg3
_symmetry_space_group_name_H-M 'P 1'
_symmetry_Int_Tables_number 1
_cell_length_a 5.0462
_cell_length_b 5.0462
_cell_length_c 13.5004
_cell_angle_alpha 90.00
_cell_angle_beta 90.00
_cell_angle_gamma 120.00
loop_
_symmetry_equiv_pos_as_xyz
'x,y,z'
loop_
_atom_site_label
_atom_site_fract_x
_atom_site_fract_y
_atom_site_fract_z
Nd1 0.0000 0.0000 0.2500
Nd2 0.0000 0.0000 0.7500
Cd1 0.3333 0.6667 0.1174
Cd2 0.3333 0.6667 0.3826
Cd3 0.6667 0.3333 0.6174
Cd4 0.6667 0.3333 0.8826
Hg1 0.0000 0.0000 0.0000
Hg2 0.0000 0.0000 0.5000
Hg3 0.3333 0.6667 0.6304
Hg4 0.3333 0.6667 0.8696
Hg5 0.6667 0.3333 0.1304
Hg6 0.6667 0.3333 0.3696
# - DOS(E_F) (states/eV/f.u.) = 3.75
# - DFT formation energy (eV/atom) = -0.24
# - distance to the lowest polymorph of the same formula (meV per atom) = 0
# - SG = P6_3/mmc (194)

***

# CaMnCl2, relaxed, DFT PBE
data_CaMnCl2
_symmetry_space_group_name_H-M 'P 1'
_symmetry_Int_Tables_number 1
_cell_length_a 6.8953
_cell_length_b 8.5235
_cell_length_c 3.8726
_cell_angle_alpha 90.00
_cell_angle_beta 121.56
_cell_angle_gamma 90.00
loop_
_symmetry_equiv_pos_as_xyz
'x,y,z'
loop_
_atom_site_label
_atom_site_fract_x
_atom_site_fract_y
_atom_site_fract_z
Ca1 0.0000 0.0000 0.0000
Ca2 0.5000 0.5000 0.0000
Mn1 0.0000 0.5000 0.0000
Mn2 0.5000 0.0000 0.0000
Cl1 0.2500 0.2500 0.0000
Cl2 0.2500 0.7500 0.0000
Cl3 0.7500 0.2500 0.0000
Cl4 0.7500 0.7500 0.0000
# - DOS(E_F) (states/eV/f.u.) = 2.04
# - distance to the lowest polymorph of the same formula (meV per atom) = 217
# - SG = C2/m (12)

***

# Ac2Al6CuAg, relaxed, DFT PBE
data_Ac2Al6CuAg
_symmetry_space_group_name_H-M 'P 1'
_symmetry_Int_Tables_number 1
_cell_length_a 6.5956
_cell_length_b 6.6030
_cell_length_c 6.9748
_cell_angle_alpha 62.10
_cell_angle_beta 61.87
_cell_angle_gamma 60.30
loop_
_symmetry_equiv_pos_as_xyz
'x,y,z'
loop_
_atom_site_label
_atom_site_fract_x
_atom_site_fract_y
_atom_site_fract_z
Ac1 0.1934 0.1920 0.4224
Ac2 0.8066 0.8080 0.5776
Al1 0.1655 0.6336 0.8807
Al2 0.3216 0.1637 0.8809
Al3 0.3648 0.6798 0.1206
Al4 0.6352 0.3202 0.8794
Al5 0.6784 0.8363 0.1191
Al6 0.8345 0.3664 0.1193
Cu1 0.0000 0.0000 0.0000
Ag1 0.5000 0.5000 0.5000
# - DOS(E_F) (states/eV/f.u.) = 6.08
# - DFT formation energy (eV/atom) = -0.22
# - SG = P-1 (2)

***

# MnRh2Cl, relaxed, DFT PBE
data_MnRh2Cl
_symmetry_space_group_name_H-M 'P 1'
_symmetry_Int_Tables_number 1
_cell_length_a 6.7991
_cell_length_b 6.7991
_cell_length_c 5.3162
_cell_angle_alpha 90.00
_cell_angle_beta 90.00
_cell_angle_gamma 90.00
loop_
_symmetry_equiv_pos_as_xyz
'x,y,z'
loop_
_atom_site_label
_atom_site_fract_x
_atom_site_fract_y
_atom_site_fract_z
Mn1 0.0000 0.0000 0.0000
Mn2 0.0000 0.5000 0.2500
Mn3 0.5000 0.0000 0.7500
Mn4 0.5000 0.5000 0.5000
Rh1 0.2183 0.7500 0.1250
Rh2 0.2500 0.2183 0.8750
Rh3 0.2500 0.2817 0.3750
Rh4 0.2817 0.7500 0.6250
Rh5 0.7183 0.2500 0.6250
Rh6 0.7500 0.7183 0.3750
Rh7 0.7500 0.7817 0.8750
Rh8 0.7817 0.2500 0.1250
Cl1 0.0000 0.0000 0.5000
Cl2 0.0000 0.5000 0.7500
Cl3 0.5000 0.0000 0.2500
Cl4 0.5000 0.5000 0.0000
# - DOS(E_F) (states/eV/f.u.) = 6.66
# - distance to the lowest polymorph of the same formula (meV per atom) = 621
# - SG = I-42d (122)

***

# Ce6Te5Se, relaxed, DFT PBE
data_Ce6Te5Se
_symmetry_space_group_name_H-M 'P 1'
_symmetry_Int_Tables_number 1
_cell_length_a 7.6875
_cell_length_b 7.6875
_cell_length_c 7.6859
_cell_angle_alpha 99.61
_cell_angle_beta 99.61
_cell_angle_gamma 119.84
loop_
_symmetry_equiv_pos_as_xyz
'x,y,z'
loop_
_atom_site_label
_atom_site_fract_x
_atom_site_fract_y
_atom_site_fract_z
Ce1 0.0784 0.3968 0.7377
Ce2 0.2353 0.2353 0.2532
Ce3 0.3968 0.0784 0.7377
Ce4 0.6032 0.9216 0.2623
Ce5 0.7647 0.7647 0.7468
Ce6 0.9216 0.6032 0.2623
Te1 0.1742 0.8258 0.0000
Te2 0.3354 0.6646 0.5000
Te3 0.5000 0.5000 0.0000
Te4 0.6646 0.3354 0.5000
Te5 0.8258 0.1742 0.0000
Se1 0.0000 0.0000 0.5000
# - DOS(E_F) (states/eV/f.u.) = 42.68
# - E_tot (eV/atom) = -5.99
# - SG = C2/m (12)

***

# Cu13Se8, relaxed, DFT PBE
data_Cu13Se8
_symmetry_space_group_name_H-M 'P 1'
_symmetry_Int_Tables_number 1
_cell_length_a 8.0960
_cell_length_b 8.0960
_cell_length_c 8.0960
_cell_angle_alpha 60.00
_cell_angle_beta 60.00
_cell_angle_gamma 60.00
loop_
_symmetry_equiv_pos_as_xyz
'x,y,z'
loop_
_atom_site_label
_atom_site_fract_x
_atom_site_fract_y
_atom_site_fract_z
Cu1 0.0000 0.0000 0.0000
Cu2 0.2501 0.2501 0.7499
Cu3 0.2501 0.7499 0.2501
Cu4 0.2501 0.7499 0.7499
Cu5 0.5074 0.5074 0.9926
Cu6 0.5074 0.9926 0.5074
Cu7 0.5074 0.9926 0.9926
Cu8 0.7499 0.2501 0.2501
Cu9 0.7499 0.2501 0.7499
Cu10 0.7499 0.7499 0.2501
Cu11 0.9926 0.5074 0.5074
Cu12 0.9926 0.5074 0.9926
Cu13 0.9926 0.9926 0.5074
Se1 0.1283 0.1283 0.1283
Se2 0.1283 0.1283 0.6150
Se3 0.1283 0.6150 0.1283
Se4 0.1306 0.6231 0.6231
Se5 0.6150 0.1283 0.1283
Se6 0.6231 0.1306 0.6231
Se7 0.6231 0.6231 0.1306
Se8 0.6231 0.6231 0.6231
# - DOS(E_F) (states/eV/f.u.) = 11.10
# - E_tot (eV/atom) = -3.92
# - SG = F-43m (216)

***

# HfTi4Pb, relaxed, DFT PBE
data_HfTi4Pb
_symmetry_space_group_name_H-M 'P 1'
_symmetry_Int_Tables_number 1
_cell_length_a 6.2480
_cell_length_b 4.8907
_cell_length_c 7.7242
_cell_angle_alpha 90.00
_cell_angle_beta 90.00
_cell_angle_gamma 90.00
loop_
_symmetry_equiv_pos_as_xyz
'x,y,z'
loop_
_atom_site_label
_atom_site_fract_x
_atom_site_fract_y
_atom_site_fract_z
Hf1 0.2500 0.0000 0.1759
Hf2 0.7500 0.0000 0.8241
Ti1 0.0000 0.0000 0.5000
Ti2 0.0043 0.5000 0.8104
Ti3 0.2500 0.5000 0.4750
Ti4 0.4957 0.5000 0.8104
Ti5 0.5000 0.0000 0.5000
Ti6 0.5043 0.5000 0.1896
Ti7 0.7500 0.5000 0.5250
Ti8 0.9957 0.5000 0.1896
Pb1 0.2500 0.0000 0.8018
Pb2 0.7500 0.0000 0.1982
# - DOS(E_F) (states/eV/f.u.) = 10.84
# - DFT formation energy (eV/atom) = 0.18
# - distance to the lowest polymorph of the same formula (meV per atom) = 212
# - SG = Pmma (51)